(1)
VASP calculation (PBE) on crystalline CeDyBiO2 at its relaxed geometry.

Crystal system: tetragonal
Raw formation energy in eV/atom: -2.639
Total DFT energy (no corrections) in eV/atom: -7.51
Magnetic moment in μB per cell: 0.6

Cell: 7.169 7.169 7.169 Å, 147.90 147.90 46.03°
Sites, in units of the cell vectors:
Ce (0.000, 0.000, 0.000)
Dy (0.674, 0.674, 0.000)
Bi (0.337, 0.337, 0.000)
O (0.090, 0.590, 0.500)
O (0.590, 0.090, 0.500)


(2)
VASP calculation (PBE) on crystalline Pm3TmHg at its relaxed geometry.

Crystal system: monoclinic
Energy above the lowest structure with this stoichiometry in eV/atom: 0.0165
Total DFT energy (no corrections) in eV/atom: -3.89
Magnetic moment in μB per cell: 0.0
Energy relative to the elements in eV per formula unit: -0.4

Cell: 11.169 11.169 8.286 Å, 106.12 106.12 18.57°
Sites, in units of the cell vectors:
Pm (0.013, 0.013, 0.246)
Pm (0.175, 0.175, 0.451)
Pm (0.379, 0.379, 0.954)
Pm (0.621, 0.621, 0.046)
Pm (0.825, 0.825, 0.549)
Pm (0.987, 0.987, 0.754)
Tm (0.266, 0.266, 0.178)
Tm (0.734, 0.734, 0.822)
Hg (0.417, 0.417, 0.387)
Hg (0.583, 0.583, 0.613)


(3)
VASP calculation (PBE) on crystalline LiCr2Tc at its relaxed geometry.

Crystal system: cubic
Total DFT energy (no corrections) in eV/atom: -7.58
Magnetic moment in μB per cell: 2.3
Energy relative to the elements in eV per formula unit: 1.2

Cell: 4.159 4.159 4.159 Å, 60.00 60.00 60.00°
Sites, in units of the cell vectors:
Li (0.000, 0.000, 0.000)
Cr (0.250, 0.250, 0.250)
Cr (0.500, 0.500, 0.500)
Tc (0.750, 0.750, 0.750)


(4)
VASP calculation (PBE) on crystalline RbNpInO6 at its relaxed geometry.

Crystal system: trigonal
Raw formation energy in eV/atom: -1.841
Total DFT energy (no corrections) in eV/atom: -7.00
Magnetic moment in μB per cell: 1.1

Cell: 5.635 5.635 6.314 Å, 90.00 90.00 120.00°
Sites, in units of the cell vectors:
Rb (0.000, 0.000, 0.000)
Np (0.667, 0.333, 0.500)
In (0.333, 0.667, 0.500)
O (0.390, 0.025, 0.681)
O (0.390, 0.365, 0.319)
O (0.635, 0.025, 0.319)
O (0.635, 0.610, 0.681)
O (0.975, 0.365, 0.681)
O (0.975, 0.610, 0.319)


(5)
VASP calculation (PBE) on crystalline Tm2NpAg3S6 at its relaxed geometry.

Crystal system: monoclinic
Raw formation energy in eV/atom: -1.119
Total DFT energy (no corrections) in eV/atom: -5.72
Magnetic moment in μB per cell: 4.0

Cell: 8.755 8.755 7.595 Å, 99.34 99.34 26.43°
Sites, in units of the cell vectors:
Tm (0.168, 0.168, 0.340)
Tm (0.832, 0.832, 0.660)
Np (0.500, 0.500, 0.000)
Ag (0.159, 0.159, 0.850)
Ag (0.500, 0.500, 0.500)
Ag (0.841, 0.841, 0.150)
S (0.006, 0.006, 0.252)
S (0.328, 0.328, 0.415)
S (0.334, 0.334, 0.903)
S (0.666, 0.666, 0.097)
S (0.672, 0.672, 0.585)
S (0.994, 0.994, 0.748)


(6)
VASP calculation (PBE) on crystalline AcPr10Er4 at its relaxed geometry.

Crystal system: tetragonal
Total DFT energy (no corrections) in eV/atom: -4.21
Magnetic moment in μB per cell: 0.0
Energy relative to the elements in eV per formula unit: 7.0

Cell: 9.722 9.722 9.722 Å, 97.50 97.50 137.65°
Sites, in units of the cell vectors:
Ac (0.000, 0.000, 0.000)
Pr (0.042, 0.627, 0.160)
Pr (0.118, 0.958, 0.584)
Pr (0.250, 0.750, 0.500)
Pr (0.373, 0.534, 0.416)
Pr (0.466, 0.882, 0.840)
Pr (0.534, 0.118, 0.160)
Pr (0.627, 0.466, 0.584)
Pr (0.750, 0.250, 0.500)
Pr (0.882, 0.042, 0.416)
Pr (0.958, 0.373, 0.840)
Er (0.322, 0.432, 0.754)
Er (0.432, 0.678, 0.110)
Er (0.568, 0.322, 0.890)
Er (0.678, 0.568, 0.246)